Material: ZnGe3Te
Method: DFT, GGA-PBE
State: optimized geometry

abc: 5.496 5.496 5.496
angles: 90.00 90.00 90.00
Fractional coordinates of all 5 atoms:
Zn1 0.000 0.000 0.000
Ge1 0.000 0.500 0.500
Ge2 0.500 0.000 0.500
Ge3 0.500 0.500 0.000
Te1 0.500 0.500 0.500

Properties
**Energy above the most stable polymorph in this dataset**: 544.7 meV per atom
**Uncorrected energy**: -0.193 Ry/atom
**Formation energy from raw total energies**: 5.1 eV per formula unit